Entry 1:
Compound: HRu3W
Source: Alexandria
Functional: PBE
Structure: optimized geometry

Calculated values
- offset from the most stable computed form (meV/atom) = 53
- spin magnetization (μB per formula unit) = 0.00
- total energy (eV/cell) = -88.64

Unit cell a=4.8492 b=5.2251 c=5.2250 alpha=115.51 beta=90.30 gamma=89.70
Positions (direct):
H 0.8567 0.6618 0.6256
H 0.8566 0.1620 0.1255
W 0.5036 0.5320 0.7555
W 0.5036 0.0320 0.2554
Ru 0.0274 0.2833 0.5041
Ru 0.0274 0.7833 0.0041
Ru 0.6784 0.0378 0.7497
Ru 0.6784 0.5378 0.2497
Ru 0.1883 0.2875 0.9999
Ru 0.1883 0.7875 0.4999

***

Entry 2:
Compound: HRu3W
Source: Alexandria
Functional: PBE
Structure: optimized geometry

Calculated values
- offset from the most stable computed form (meV/atom) = 581
- spin magnetization (μB per formula unit) = 0.00
- total energy (eV/cell) = -166.73

Unit cell a=7.2455 b=7.2455 c=7.2455 alpha=60.00 beta=60.00 gamma=60.00
Positions (direct):
Ru 0.8056 0.1944 0.1944
Ru 0.0556 0.4444 0.4444
Ru 0.4444 0.4444 0.0556
Ru 0.4444 0.0556 0.0556
Ru 0.0556 0.4444 0.0556
Ru 0.8056 0.1944 0.8056
Ru 0.4444 0.0556 0.4444
Ru 0.0556 0.0556 0.4444
Ru 0.1944 0.8056 0.1944
Ru 0.1944 0.8056 0.8056
Ru 0.1944 0.1944 0.8056
Ru 0.8056 0.8056 0.1944
W 0.6250 0.6250 0.6250
W 0.6250 0.1250 0.6250
W 0.1250 0.6250 0.6250
W 0.6250 0.6250 0.1250
H 0.1250 0.1250 0.1250
H 0.1250 0.6250 0.1250
H 0.6250 0.1250 0.1250
H 0.1250 0.1250 0.6250